Record 1
Material: Pm4Ge2Ir
Method: DFT, GGA-PBE
State: optimized geometry

Results
- Formation energy from the elements: -4.4 eV/f.u.
- SG: R-3m (166)

abc: 9.584 9.584 9.584
angles: 29.55 29.55 29.55
Fractional coordinates of all 7 atoms:
Pm 0.124 0.124 0.124
Pm 0.296 0.296 0.296
Pm 0.704 0.704 0.704
Pm 0.876 0.876 0.876
Ge 0.407 0.407 0.407
Ge 0.593 0.593 0.593
Ir 0.500 0.500 0.500

Record 2
Material: Pm6Ge5Ir
Method: DFT, GGA-PBE
State: optimized geometry

Results
- Formation energy from the elements: -7.2 eV/f.u.
- SG: C2/m (12)

abc: 7.327 7.327 7.366
angles: 99.52 99.52 119.34
Fractional coordinates of all 12 atoms:
Pm 0.080 0.397 0.742
Pm 0.236 0.236 0.260
Pm 0.397 0.080 0.742
Pm 0.603 0.920 0.258
Pm 0.764 0.764 0.740
Pm 0.920 0.603 0.258
Ge 0.171 0.829 0.000
Ge 0.334 0.666 0.500
Ge 0.500 0.500 0.000
Ge 0.666 0.334 0.500
Ge 0.829 0.171 0.000
Ir 0.000 0.000 0.500

Record 3
Material: PmGe12Ir4
Method: DFT, GGA-PBE
State: optimized geometry

Results
- Formation energy from the elements: -3.9 eV/f.u.
- SG: Im-3 (204)

abc: 7.524 7.524 7.524
angles: 109.47 109.47 109.47
Fractional coordinates of all 17 atoms:
Pm 0.000 0.000 0.000
Ge 0.153 0.349 0.502
Ge 0.153 0.651 0.804
Ge 0.196 0.847 0.349
Ge 0.349 0.196 0.847
Ge 0.349 0.502 0.153
Ge 0.498 0.847 0.651
Ge 0.502 0.153 0.349
Ge 0.651 0.498 0.847
Ge 0.651 0.804 0.153
Ge 0.804 0.153 0.651
Ge 0.847 0.349 0.196
Ge 0.847 0.651 0.498
Ir 0.000 0.000 0.500
Ir 0.000 0.500 0.000
Ir 0.500 0.000 0.000
Ir 0.500 0.500 0.500

Record 4
Material: PmGe3Ir5
Method: DFT, GGA-PBE
State: optimized geometry

Results
- Formation energy from the elements: -3.2 eV/f.u.
- SG: Cmcm (63)

abc: 6.693 6.693 12.432
angles: 90.00 90.00 144.93
Fractional coordinates of all 18 atoms:
Pm 0.176 0.824 0.750
Pm 0.824 0.176 0.250
Ge 0.115 0.885 0.250
Ge 0.385 0.615 0.052
Ge 0.385 0.615 0.448
Ge 0.615 0.385 0.552
Ge 0.615 0.385 0.948
Ge 0.885 0.115 0.750
Ir 0.000 0.000 0.000
Ir 0.000 0.000 0.500
Ir 0.202 0.798 0.072
Ir 0.202 0.798 0.428
Ir 0.441 0.559 0.644
Ir 0.441 0.559 0.856
Ir 0.559 0.441 0.144
Ir 0.559 0.441 0.356
Ir 0.798 0.202 0.572
Ir 0.798 0.202 0.928

Record 5
Material: PmGe4Ir4
Method: DFT, GGA-PBE
State: optimized geometry

Results
- Formation energy from the elements: -3.4 eV/f.u.
- SG: P4_2/nmc (137)

abc: 6.200 6.200 8.259
angles: 90.00 90.00 90.00
Fractional coordinates of all 18 atoms:
Pm 0.250 0.750 0.250
Pm 0.750 0.250 0.750
Ge 0.035 0.250 0.069
Ge 0.250 0.035 0.569
Ge 0.250 0.465 0.569
Ge 0.465 0.250 0.069
Ge 0.535 0.750 0.931
Ge 0.750 0.535 0.431
Ge 0.750 0.965 0.431
Ge 0.965 0.750 0.931
Ir 0.026 0.250 0.369
Ir 0.250 0.026 0.869
Ir 0.250 0.474 0.869
Ir 0.474 0.250 0.369
Ir 0.526 0.750 0.631
Ir 0.750 0.526 0.131
Ir 0.750 0.974 0.131
Ir 0.974 0.750 0.631

Record 6
Material: PmGe2Ir4
Method: DFT, GGA-PBE
State: optimized geometry

Results
- Formation energy from the elements: -3.8 eV/f.u.
- SG: P4_2/mnm (136)

abc: 7.773 7.773 3.953
angles: 90.00 90.00 90.00
Fractional coordinates of all 14 atoms:
Pm 0.000 0.000 0.000
Pm 0.500 0.500 0.500
Ge 0.226 0.226 0.500
Ge 0.274 0.726 0.000
Ge 0.726 0.274 0.000
Ge 0.774 0.774 0.500
Ir 0.078 0.658 0.500
Ir 0.158 0.422 0.000
Ir 0.342 0.922 0.500
Ir 0.422 0.158 0.000
Ir 0.578 0.842 0.000
Ir 0.658 0.078 0.500
Ir 0.842 0.578 0.000
Ir 0.922 0.342 0.500

Record 7
Material: PmGe2Ir5
Method: DFT, GGA-PBE
State: optimized geometry

Results
- Formation energy from the elements: -3.2 eV/f.u.
- SG: Immm (71)

abc: 3.936 7.101 9.762
angles: 90.00 90.00 90.00
Fractional coordinates of all 16 atoms:
Pm 0.000 0.000 0.000
Pm 0.500 0.500 0.500
Ge 0.000 0.500 0.251
Ge 0.000 0.500 0.749
Ge 0.500 0.000 0.249
Ge 0.500 0.000 0.751
Ir 0.000 0.195 0.360
Ir 0.000 0.195 0.640
Ir 0.000 0.500 0.000
Ir 0.000 0.805 0.360
Ir 0.000 0.805 0.640
Ir 0.500 0.000 0.500
Ir 0.500 0.305 0.140
Ir 0.500 0.305 0.860
Ir 0.500 0.695 0.140
Ir 0.500 0.695 0.860

Record 8
Material: PmGeIr2
Method: DFT, GGA-PBE
State: optimized geometry

Results
- Formation energy from the elements: -1.3 eV/f.u.
- SG: P4/mmm (123)

abc: 4.341 4.341 3.850
angles: 90.00 90.00 90.00
Fractional coordinates of all 4 atoms:
Pm 0.000 0.000 0.000
Ge 0.500 0.500 0.000
Ir 0.000 0.500 0.500
Ir 0.500 0.000 0.500

Record 9
Material: Pm2Ge4Ir5
Method: DFT, GGA-PBE
State: optimized geometry

Results
- Formation energy from the elements: -6.9 eV/f.u.
- SG: Fmmm (69)

abc: 8.916 7.993 5.632
angles: 79.69 61.89 38.42
Fractional coordinates of all 11 atoms:
Pm 0.124 0.124 0.876
Pm 0.876 0.876 0.124
Ge 0.212 0.528 0.472
Ge 0.472 0.788 0.212
Ge 0.528 0.212 0.788
Ge 0.788 0.472 0.528
Ir 0.000 0.000 0.500
Ir 0.250 0.250 0.250
Ir 0.500 0.500 0.000
Ir 0.500 0.500 0.500
Ir 0.750 0.750 0.750

Record 10
Material: Pm3Ge4Ir2
Method: DFT, GGA-PBE
State: optimized geometry

Results
- Formation energy from the elements: -7.1 eV/f.u.
- SG: C2/m (12)
- E above lowest polymorph: 0.32 eV/f.u.

abc: 5.989 5.989 8.471
angles: 102.38 102.38 41.79
Fractional coordinates of all 9 atoms:
Pm 0.000 0.000 0.000
Pm 0.332 0.332 0.348
Pm 0.668 0.668 0.652
Ge 0.049 0.049 0.378
Ge 0.266 0.266 0.921
Ge 0.734 0.734 0.079
Ge 0.951 0.951 0.622
Ir 0.396 0.396 0.725
Ir 0.604 0.604 0.275

Record 11
Material: Pm3Ge5Ir6
Method: DFT, GGA-PBE
State: optimized geometry

Results
- Formation energy from the elements: -10.5 eV/f.u.
- SG: Pmmn (59)

abc: 4.140 12.705 9.941
angles: 90.00 90.00 90.00
Fractional coordinates of all 28 atoms:
Pm 0.250 0.088 0.247
Pm 0.250 0.412 0.247
Pm 0.250 0.750 0.246
Pm 0.750 0.250 0.754
Pm 0.750 0.588 0.753
Pm 0.750 0.912 0.753
Ge 0.250 0.078 0.649
Ge 0.250 0.422 0.649
Ge 0.250 0.630 0.983
Ge 0.250 0.750 0.624
Ge 0.250 0.870 0.983
Ge 0.750 0.130 0.017
Ge 0.750 0.250 0.376
Ge 0.750 0.370 0.017
Ge 0.750 0.578 0.351
Ge 0.750 0.922 0.351
Ir 0.250 0.050 0.898
Ir 0.250 0.250 0.002
Ir 0.250 0.250 0.516
Ir 0.250 0.450 0.898
Ir 0.250 0.582 0.493
Ir 0.250 0.918 0.493
Ir 0.750 0.082 0.507
Ir 0.750 0.418 0.507
Ir 0.750 0.550 0.102
Ir 0.750 0.750 0.484
Ir 0.750 0.750 0.998
Ir 0.750 0.950 0.102

Record 12
Material: Pm5Ge2Ir2
Method: DFT, GGA-PBE
State: optimized geometry

Results
- Formation energy from the elements: -6.0 eV/f.u.
- SG: Cmce (64)
- E above lowest polymorph: 0.00 eV/f.u.

abc: 8.559 8.559 7.722
angles: 90.00 90.00 53.57
Fractional coordinates of all 18 atoms:
Pm 0.000 0.000 0.000
Pm 0.030 0.677 0.664
Pm 0.177 0.530 0.164
Pm 0.323 0.970 0.664
Pm 0.470 0.823 0.164
Pm 0.500 0.500 0.500
Pm 0.530 0.177 0.836
Pm 0.677 0.030 0.336
Pm 0.823 0.470 0.836
Pm 0.970 0.323 0.336
Ge 0.121 0.879 0.383
Ge 0.379 0.621 0.883
Ge 0.621 0.379 0.117
Ge 0.879 0.121 0.617
Ir 0.199 0.199 0.000
Ir 0.301 0.301 0.500
Ir 0.699 0.699 0.500
Ir 0.801 0.801 0.000

Record 13
Material: Pm3GeIr2
Method: DFT, GGA-PBE
State: optimized geometry

Results
- Formation energy from the elements: -4.1 eV/f.u.
- SG: Pnma (62)

abc: 11.905 4.031 12.219
angles: 90.00 90.00 90.00
Fractional coordinates of all 24 atoms:
Pm 0.056 0.250 0.119
Pm 0.128 0.750 0.561
Pm 0.198 0.250 0.814
Pm 0.302 0.750 0.314
Pm 0.372 0.250 0.061
Pm 0.444 0.750 0.619
Pm 0.556 0.250 0.381
Pm 0.628 0.750 0.939
Pm 0.698 0.250 0.686
Pm 0.802 0.750 0.186
Pm 0.872 0.250 0.439
Pm 0.944 0.750 0.881
Ge 0.122 0.250 0.364
Ge 0.378 0.750 0.864
Ge 0.622 0.250 0.136
Ge 0.878 0.750 0.636
Ir 0.013 0.750 0.311
Ir 0.187 0.750 0.984
Ir 0.313 0.250 0.484
Ir 0.487 0.250 0.811
Ir 0.513 0.750 0.189
Ir 0.687 0.750 0.516
Ir 0.813 0.250 0.016
Ir 0.987 0.250 0.689

Record 14
Material: Pm5GeIr2
Method: DFT, GGA-PBE
State: optimized geometry

Results
- Formation energy from the elements: -5.2 eV/f.u.
- SG: I4/mcm (140)
- E above lowest polymorph: 0.00 eV/f.u.

abc: 8.736 8.736 8.736
angles: 126.34 126.34 79.33
Fractional coordinates of all 16 atoms:
Pm 0.000 0.000 0.000
Pm 0.024 0.524 0.827
Pm 0.198 0.024 0.500
Pm 0.302 0.802 0.827
Pm 0.476 0.302 0.500
Pm 0.500 0.500 0.000
Pm 0.524 0.698 0.500
Pm 0.698 0.198 0.173
Pm 0.802 0.976 0.500
Pm 0.976 0.476 0.173
Ge 0.250 0.250 0.000
Ge 0.750 0.750 0.000
Ir 0.136 0.364 0.500
Ir 0.364 0.864 0.229
Ir 0.636 0.136 0.771
Ir 0.864 0.636 0.500

Record 15
Material: PmGeIr2
Method: DFT, GGA-PBE
State: optimized geometry

Results
- Formation energy from the elements: -1.9 eV/f.u.
- SG: R-3m (166)

abc: 4.275 4.275 15.165
angles: 90.00 90.00 120.00
Fractional coordinates of all 12 atoms:
Pm 0.000 0.000 0.000
Pm 0.333 0.667 0.667
Pm 0.667 0.333 0.333
Ge 0.000 0.000 0.500
Ge 0.333 0.667 0.167
Ge 0.667 0.333 0.833
Ir 0.000 0.000 0.208
Ir 0.000 0.000 0.792
Ir 0.333 0.667 0.459
Ir 0.333 0.667 0.874
Ir 0.667 0.333 0.126
Ir 0.667 0.333 0.541

Record 16
Material: PmGeIr2
Method: DFT, GGA-PBE
State: optimized geometry

Results
- Formation energy from the elements: -0.9 eV/f.u.
- SG: P4/mmm (123)

abc: 3.427 3.427 6.278
angles: 90.00 90.00 90.00
Fractional coordinates of all 4 atoms:
Pm 0.000 0.000 0.000
Ge 0.000 0.000 0.500
Ir 0.500 0.500 0.286
Ir 0.500 0.500 0.714

Record 17
Material: Pm2Ge4Ir3
Method: DFT, GGA-PBE
State: optimized geometry

Results
- Formation energy from the elements: -5.8 eV/f.u.
- SG: Fmmm (69)
- E above lowest polymorph: 0.77 eV/f.u.

abc: 7.942 6.842 5.665
angles: 78.21 57.50 44.29
Fractional coordinates of all 9 atoms:
Pm 0.132 0.132 0.868
Pm 0.868 0.868 0.132
Ge 0.174 0.511 0.489
Ge 0.489 0.826 0.174
Ge 0.511 0.174 0.826
Ge 0.826 0.489 0.511
Ir 0.000 0.000 0.500
Ir 0.500 0.500 0.000
Ir 0.500 0.500 0.500

Record 18
Material: Pm3Ge2Ir3
Method: DFT, GGA-PBE
State: optimized geometry

Results
- Formation energy from the elements: -6.0 eV/f.u.
- SG: Cmcm (63)

abc: 5.631 5.631 15.355
angles: 90.00 90.00 135.91
Fractional coordinates of all 16 atoms:
Pm 0.072 0.928 0.608
Pm 0.072 0.928 0.892
Pm 0.360 0.640 0.750
Pm 0.640 0.360 0.250
Pm 0.928 0.072 0.108
Pm 0.928 0.072 0.392
Ge 0.219 0.781 0.102
Ge 0.219 0.781 0.398
Ge 0.781 0.219 0.602
Ge 0.781 0.219 0.898
Ir 0.338 0.662 0.250
Ir 0.361 0.639 0.535
Ir 0.361 0.639 0.965
Ir 0.639 0.361 0.035
Ir 0.639 0.361 0.465
Ir 0.662 0.338 0.750

Record 19
Material: Pm3Ge4Ir2
Method: DFT, GGA-PBE
State: optimized geometry

Results
- Formation energy from the elements: -7.4 eV/f.u.
- SG: C2/m (12)
- E above lowest polymorph: 0.00 eV/f.u.

abc: 5.975 5.975 8.359
angles: 107.77 107.77 42.53
Fractional coordinates of all 9 atoms:
Pm 0.000 0.000 0.000
Pm 0.379 0.379 0.303
Pm 0.621 0.621 0.697
Ge 0.094 0.094 0.397
Ge 0.290 0.290 0.923
Ge 0.710 0.710 0.077
Ge 0.906 0.906 0.603
Ir 0.308 0.308 0.633
Ir 0.692 0.692 0.367

Electronic total energy, record by record: -41.5 -67.7 -99.5 -132.2 -124.1 -106.4 -122.9 -28.4 -79.2 -57.5 -202.1 -113.5 -162.9 -102.6 -87.0 -28.0 -60.4 -112.2 -57.9 eV/cell